(1)
Crystalline NdTmC at its relaxed geometry. Source: the Alexandria database, functional PBE.

Properties
Magnetic moment, μB/f.u.: 0.0
Electronic total energy, eV per atom: -6.342
Formation energy from the elements, meV/atom: -187.7

```
NdTmC
1.0
3.5947 0.0000 0.0000
-1.7973 3.1131 0.0000
0.0000 0.0000 6.4247
C Nd Tm
1 1 1
direct
0.6667 0.3333 0.3473
0.0000 0.0000 0.1126
0.3333 0.6667 0.5402
```



(2)
Crystalline SrGdCd4 at its relaxed geometry. Source: the Alexandria database, functional PBE.

Properties
Magnetic moment, μB/f.u.: 7.2
Electronic total energy, eV per atom: -3.498
Formation energy from the elements, meV/atom: -261.0

```
SrGdCd4
1.0
6.0686 0.0000 0.0000
3.0343 5.2555 0.0000
3.0343 1.7518 4.9550
Sr Cd Gd
1 4 1
direct
0.2500 0.2500 0.2500
0.6256 0.6256 0.1232
0.6256 0.1232 0.6256
0.6256 0.6256 0.6256
0.1232 0.6256 0.6256
0.0000 0.0000 0.0000
```



(3)
Crystalline Pr2CoI at its relaxed geometry. Source: the Alexandria database, functional PBE.

Properties
Magnetic moment, μB/f.u.: 0.0
Electronic total energy, eV per atom: -5.111

```
Pr2CoI
1.0
-0.6408 -3.9543 -0.8095
0.6993 -2.8147 2.8794
-7.7400 -1.5301 3.2843
Pr Co I
2 1 1
direct
0.2727 0.2727 0.1820
0.0610 0.0610 0.8169
0.6670 0.6670 0.9989
0.4993 0.4993 0.5022
```